Entry w
Here is an optimized crystal structure of LiPr2Pd6 from the Alexandria database. Energies are from PBE-GGA.

Lattice parameters (Å, degrees): 5.6575 5.8492 5.8492 60.00 90.00 90.00
Atoms (fractional coordinates):
Pd 0.3064 0.3446 0.8277
Pd 0.6936 0.1723 0.6554
Pd 0.6936 0.1723 0.1723
Pd 0.3064 0.8277 0.3446
Pd 0.6936 0.6554 0.1723
Pd 0.3064 0.8277 0.8277
Pr 0.1903 0.3333 0.3333
Pr 0.8097 0.6667 0.6667
Li 0.0000 0.0000 0.0000

Calculated values
ρ = 9.19 Mg/m³
space group = P-3m1
Fermi-level density of states = 2.27 states/eV/f.u.

***

Entry x
Here is an optimized crystal structure of LiPr2Pd6 from the Alexandria database. Energies are from PBE-GGA.

Lattice parameters (Å, degrees): 6.1446 6.1446 6.1434 59.97 59.97 59.98
Atoms (fractional coordinates):
Pr 0.2500 0.2500 0.2498
Pr 0.7500 0.7500 0.7502
Pd 0.2311 0.2311 0.7687
Pd 0.2312 0.7690 0.7689
Pd 0.7689 0.7689 0.2313
Pd 0.2310 0.7688 0.2311
Pd 0.7688 0.2310 0.2311
Pd 0.7690 0.2312 0.7689
Li 0.5000 0.5000 0.5000

Calculated values
ρ = 9.39 Mg/m³
space group = Fm-3m
Fermi-level density of states = 2.36 states/eV/f.u.

***

Of them, the most stable is entry x and the least stable is entry w.

***

Entry w
Here is an optimized crystal structure of LiPr2Pd3 from the Alexandria database. Energies are from PBE-GGA.

Lattice parameters (Å, degrees): 4.4542 5.6582 6.4987 115.81 110.04 90.00
Atoms (fractional coordinates):
Pd 0.0000 0.0000 0.0000
Pd 0.6257 0.6257 0.2514
Pd 0.3743 0.3743 0.7486
Pr 0.3168 0.8168 0.6335
Pr 0.6832 0.1832 0.3665
Li 0.0000 0.5000 0.0000

Calculated values
ρ = 7.40 Mg/m³
space group = Immm
Fermi-level density of states = 2.27 states/eV/f.u.

***

Entry x
Here is an optimized crystal structure of LiPr2Pd3 from the Alexandria database. Energies are from PBE-GGA.

Lattice parameters (Å, degrees): 4.4916 4.4916 15.3759 90.00 90.00 120.00
Atoms (fractional coordinates):
Pd 0.6667 0.3333 0.5180
Pd 0.6667 0.3333 0.2500
Pd 0.6667 0.3333 0.9820
Pd 0.3333 0.6667 0.0180
Pd 0.3333 0.6667 0.7500
Pd 0.3333 0.6667 0.4820
Pr 0.0000 0.0000 0.1207
Pr 0.0000 0.0000 0.6207
Pr 0.0000 0.0000 0.3793
Pr 0.0000 0.0000 0.8793
Li 0.3333 0.6667 0.2500
Li 0.6667 0.3333 0.7500

Calculated values
ρ = 7.52 Mg/m³
space group = P6_3/mmc
Fermi-level density of states = 3.16 states/eV/f.u.

***

Of them, the most stable is entry x and the least stable is entry w.